This record from the Alexandria database describes a relaxed structure of BaMgNiO2. The functional is PBE+U.

Total magnetization: 0.922 μB/cell
Final energy: -3.14 eV/atom
D(E_F): 3.37 states/eV/cell
Calculated density: 4.607 Mg/m³

Unit cell a=4.367 b=4.367 c=4.769 alpha=90.00 beta=90.00 gamma=90.00
Fractional positions:
Ba  0.000  0.000  0.000
Mg  0.500  0.500  0.000
Ni  0.000  0.000  0.500
O  0.000  0.500  0.500
O  0.500  0.000  0.500